Compound: ScCr2Fe2
Source: Alexandria via LeMat-Bulk
Functional: PBE-GGA
Structure: optimized geometry

a = 3.8786 Å, b = 3.8786 Å, c = 5.3641 Å
α = 68.81°, β = 68.81°, γ = 90.00°
Last column: nearest neighbours and their distance in Å.
Positions (direct):
Fe (0.3760, 0.3760, 0.2479)  4 Cr 2.26, 1 Fe 2.29
Fe (0.6240, 0.6240, 0.7521)  4 Cr 2.26, 1 Fe 2.29
Cr (0.2500, 0.7500, 0.5000)  4 Fe 2.26
Cr (0.7500, 0.2500, 0.5000)  4 Fe 2.26
Sc (0.0000, 0.0000, 0.0000)  8 Fe 2.97, 8 Cr 3.01

Values from the calculation:
E_form, kJ/mol of atoms: 3
Calculated volume, A^3/atom: 13.87
DOS at the Fermi energy, states/eV/f.u.: 4.77
ΔE to the lowest computed polymorph, kJ/mol of atoms: 0.0
Calculated total energy, eV/atom: -8.47